Na2H5Ru after structural relaxation. Source: Alexandria via LeMat-Bulk, functional PBE.

```
Na2H5Ru
1.0
3.2734 0.0000 -0.9533
-0.6742 4.6098 -2.3150
-0.1052 -0.0704 5.7357
Na H Ru
2 5 1
Direct
0.6633 0.6633 0.3266 Na
0.3367 0.3367 0.6734 Na
0.8727 0.6449 0.7454 H
0.1273 0.3551 0.2546 H
0.1273 0.8995 0.2546 H
0.5000 0.0000 0.0000 H
0.8727 0.1005 0.7454 H
0.0000 0.0000 0.0000 Ru
```

Values from the calculation:
- Uncorrected energy: -28.98 eV/cell



HgGePd2 after structural relaxation. Source: Alexandria via LeMat-Bulk, functional PBE.

```
HgGePd2
1.0
-4.0027 0.1536 5.9684
0.0543 -7.1843 0.2214
0.3988 -3.4484 4.6846
Ge Hg Pd
2 2 4
Direct
0.5000 0.5000 0.0000 Ge
0.2500 0.7500 0.5000 Ge
0.0000 0.0000 0.0000 Hg
0.7500 0.2500 0.5000 Hg
0.5834 0.1250 0.2500 Pd
0.1666 0.6250 0.2500 Pd
0.3750 0.4166 0.7500 Pd
0.8750 0.8334 0.7500 Pd
```

Values from the calculation:
- Formation energy from the elements: -0.116 eV/atom
- Energy above the most stable polymorph in this dataset: 14.7 kJ per mole of atoms



Rb2MgBCl6 after structural relaxation. Source: Alexandria via LeMat-Bulk, functional PBE.

```
Rb2MgBCl6
1.0
-5.5171 -3.6330 2.0717
2.4483 -0.0254 6.4756
-3.9613 2.3890 5.2078
Mg B Rb Cl
1 1 2 6
Direct
0.0000 0.0000 0.0000 Mg
0.5000 0.5000 0.0000 B
0.7500 0.2500 0.5000 Rb
0.2500 0.7500 0.5000 Rb
0.2560 0.2560 0.4879 Cl
0.7440 0.7440 0.5121 Cl
0.2634 0.2634 0.0000 Cl
0.7366 0.7366 0.0000 Cl
0.7366 0.2634 0.0000 Cl
0.2634 0.7366 0.0000 Cl
```

Values from the calculation:
- Formation energy without anion corrections: -110 kJ/mol of atoms